1.
Here is an optimized crystal structure of HoCuSnTe3 from OQMD via LeMat-Bulk. Energies are from PBE. Values from VASP.

Structure (Quantum ESPRESSO input):
```
&SYSTEM
  ibrav = 0, nat = 12, ntyp = 4
/
ATOMIC_SPECIES
Ho 164.93 Ho.upf
Cu 63.55 Cu.upf
Sn 118.71 Sn.upf
Te 127.60 Te.upf
ATOMIC_POSITIONS angstrom
Ho 0.0000 0.0000 0.0000
Ho 0.0000 0.0000 5.5361
Cu 2.1137 0.4450 8.3041
Cu 2.1137 -0.4450 2.7680
Sn 2.1137 3.8283 2.7680
Sn 2.1137 -3.8283 8.3041
Te 2.1137 6.0429 8.3041
Te 2.1137 2.1253 6.2429
Te 2.1137 2.1253 10.3653
Te 2.1137 -2.1253 0.7068
Te 2.1137 -2.1253 4.8292
Te 2.1137 -6.0429 2.7680
CELL_PARAMETERS angstrom
2.1137 -7.2837 0.0000
2.1137 7.2837 0.0000
0.0000 0.0000 11.0721
```

SG   Cmcm

---

2.
Here is an optimized crystal structure of HoCuSnTe3 from OQMD via LeMat-Bulk. Energies are from PBE. Values from VASP.

Structure (Quantum ESPRESSO input):
```
&SYSTEM
  ibrav = 0, nat = 24, ntyp = 4
/
ATOMIC_SPECIES
Ho 164.93 Ho.upf
Cu 63.55 Cu.upf
Sn 118.71 Sn.upf
Te 127.60 Te.upf
ATOMIC_POSITIONS angstrom
Ho 0.2628 1.0646 3.4928
Ho 5.3127 3.1938 10.7196
Ho 5.8382 1.0646 3.7340
Ho 10.8881 3.1938 10.9608
Cu 2.6875 1.0646 10.4540
Cu 2.8879 3.1938 3.2272
Cu 8.2629 1.0646 11.2263
Cu 8.4634 3.1938 3.9996
Sn 2.3945 3.1938 7.3481
Sn 3.1810 1.0646 0.1213
Sn 7.9699 3.1938 14.3323
Sn 8.7564 1.0646 7.1055
Te 0.5104 1.0646 8.8307
Te 0.9795 3.1938 1.4395
Te 2.5907 3.1938 12.0891
Te 2.9847 1.0646 4.8623
Te 4.5959 1.0646 8.6663
Te 5.0650 3.1938 1.6040
Te 6.0858 1.0646 12.8496
Te 6.5550 3.1938 5.7872
Te 8.1662 3.1938 9.5913
Te 8.5602 1.0646 2.3645
Te 10.1714 1.0646 13.0140
Te 10.6405 3.1938 5.6228
CELL_PARAMETERS angstrom
11.1509 0.0000 0.0000
0.0000 4.2585 0.0000
0.0000 0.0000 14.4536
```

SG   Pnma

---

3.
Here is an optimized crystal structure of HoCuSnTe3 from OQMD via LeMat-Bulk. Energies are from PBE. Values from VASP.

Structure (Quantum ESPRESSO input):
```
&SYSTEM
  ibrav = 0, nat = 24, ntyp = 4
/
ATOMIC_SPECIES
Ho 164.93 Ho.upf
Cu 63.55 Cu.upf
Sn 118.71 Sn.upf
Te 127.60 Te.upf
ATOMIC_POSITIONS angstrom
Ho 0.1206 1.0624 2.0017
Ho 7.1259 3.1871 7.7837
Ho 7.3671 1.0624 3.7804
Ho 14.3725 3.1871 9.5625
Cu 0.1015 3.1871 4.8438
Cu 7.1450 1.0624 10.6258
Cu 7.3481 3.1871 0.9383
Cu 14.3915 1.0624 6.7204
Sn 3.0751 1.0624 5.2013
Sn 4.1715 3.1871 10.9834
Sn 10.3216 1.0624 0.5808
Sn 11.4180 3.1871 6.3628
Te 1.5852 3.1871 7.0821
Te 1.6641 1.0624 10.8868
Te 2.0817 3.1871 2.9935
Te 5.1648 1.0624 8.7756
Te 5.5824 3.1871 5.1047
Te 5.6613 1.0624 1.3000
Te 8.8317 3.1871 10.2642
Te 8.9107 1.0624 6.4594
Te 9.3282 3.1871 2.7886
Te 12.4114 1.0624 8.5706
Te 12.8289 3.1871 0.6773
Te 12.9079 1.0624 4.4821
CELL_PARAMETERS angstrom
14.4931 0.0000 0.0000
0.0000 4.2494 0.0000
0.0000 0.0000 11.5642
```

SG   Pnma

---

Number 1: energy above the most stable polymorph in this dataset 5 meV/atom, V 28.41 Å³ per atom, final energy -51.3 eV per cell. Number 2: energy above the most stable polymorph in this dataset 0 meV/atom, V 28.60 Å³ per atom, final energy -102.7 eV per cell. Number 3: energy above the most stable polymorph in this dataset 10 meV/atom, V 29.68 Å³ per atom, final energy -102.5 eV per cell.